The following is a DFT calculation (meta-GGA SCAN) of As2PtRhSe at its PBEsol-relaxed geometry.

abc: 4.696 4.696 4.966
angles: 90.00 90.00 90.00
Space group P4/mmm (No. 123)
Symmetry-distinct sites (fractional):
As (0.000, 0.500, 0.000) (multiplicity 2)
Pt (0.000, 0.000, 0.000) (multiplicity 1)
Rh (0.500, 0.500, 0.500) (multiplicity 1)
Se (0.000, 0.000, 0.500) (multiplicity 1)

Output
**Formation energy (no corrections)**: 90 kJ/mol of atoms
**Spin magnetization**: 0.00 μB per formula unit

The following is a DFT calculation (meta-GGA SCAN) of In2AgCl at its PBEsol-relaxed geometry.

abc: 7.499 7.508 3.090
angles: 90.00 90.00 90.00
Space group Cmmm (No. 65)
Symmetry-distinct sites (fractional):
In (0.250, 0.250, 0.000) (multiplicity 4)
Ag (0.000, 0.000, 0.500) (multiplicity 2)
Cl (0.000, 0.500, 0.500) (multiplicity 2)

Output
**Relative energy among the computed polymorphs**: 0 kJ/mol of formula units
**Formation energy (no corrections)**: -25 kJ/mol of atoms
**Spin magnetization**: 0.00 μB per formula unit

The following is a DFT calculation (meta-GGA SCAN) of SrTl3O5 at its PBEsol-relaxed geometry.

abc: 3.447 11.371 13.888
angles: 90.00 90.00 90.00
Space group Cmcm (No. 63)
Symmetry-distinct sites (fractional):
Sr (0.000, 0.024, 0.250) (multiplicity 4)
Tl (0.000, 0.229, 0.611) (multiplicity 8)
Tl (0.000, 0.500, 0.000) (multiplicity 4)
O (0.000, 0.144, 0.044) (multiplicity 8)
O (0.000, 0.322, 0.750) (multiplicity 4)
O (0.000, 0.412, 0.142) (multiplicity 8)

Output
**Formation energy (no corrections)**: -117 kJ/mol of atoms
**Spin magnetization**: 0.00 μB per formula unit

The following is a DFT calculation (meta-GGA SCAN) of CrCoAg2 at its PBEsol-relaxed geometry.

abc: 9.042 2.756 4.698
angles: 90.00 105.25 90.00
Space group Cm (No. 8)
Symmetry-distinct sites (fractional):
Cr (0.000, 0.000, 0.000) (multiplicity 2)
Co (0.289, 0.000, 0.795) (multiplicity 2)
Ag (0.032, 0.500, 0.532) (multiplicity 2)
Ag (0.264, 0.500, 0.271) (multiplicity 2)

Output
**Energy of formation**: 179 kJ/mol of formula units
**Relative energy among the computed polymorphs**: 20 kJ/mol of formula units
**Spin magnetization**: 4.99 μB per formula unit

The following is a DFT calculation (meta-GGA SCAN) of RbCd3Cu at its PBEsol-relaxed geometry.

abc: 5.099 5.099 5.099
angles: 90.00 90.00 90.00
Space group Pm-3m (No. 221)
Symmetry-distinct sites (fractional):
Rb (0.000, 0.000, 0.000) (multiplicity 1)
Cd (0.000, 0.500, 0.500) (multiplicity 3)
Cu (0.500, 0.500, 0.500) (multiplicity 1)

Output
**Energy of formation**: 14 kJ/mol of formula units
**Relative energy among the computed polymorphs**: 0 kJ/mol of formula units
**Spin magnetization**: 0.00 μB per formula unit

The following is a DFT calculation (meta-GGA SCAN) of BPPd2 at its PBEsol-relaxed geometry.

abc: 5.797 5.797 5.797
angles: 90.00 90.00 90.00
Space group Fm-3m (No. 225)
Symmetry-distinct sites (fractional):
B (0.000, 0.000, 0.000) (multiplicity 4)
P (0.000, 0.000, 0.500) (multiplicity 4)
Pd (0.250, 0.250, 0.250) (multiplicity 8)

Output
**Energy of formation**: 154 kJ/mol of formula units
**Spin magnetization**: 0.00 μB per formula unit

The following is a DFT calculation (meta-GGA SCAN) of Li3PF at its PBEsol-relaxed geometry.

abc: 3.883 3.883 3.883
angles: 90.00 90.00 90.00
Space group Pm-3m (No. 221)
Symmetry-distinct sites (fractional):
Li (0.000, 0.000, 0.500) (multiplicity 3)
P (0.500, 0.500, 0.500) (multiplicity 1)
F (0.000, 0.000, 0.000) (multiplicity 1)

Output
**Relative energy among the computed polymorphs**: 0 kJ/mol of formula units
**Formation energy (no corrections)**: -145 kJ/mol of atoms
**Spin magnetization**: 0.00 μB per formula unit

The following is a DFT calculation (meta-GGA SCAN) of CrRu3 at its PBEsol-relaxed geometry.

abc: 5.286 12.743 4.581
angles: 90.00 90.00 90.00
Space group Pmmn (No. 59, origin choice 2)
Symmetry-distinct sites (fractional):
Cr (0.250, 0.089, 0.159) (multiplicity 4)
Cr (0.250, 0.750, 0.505) (multiplicity 2)
Ru (0.000, 0.250, 0.004) (multiplicity 4)
Ru (0.002, 0.586, 0.336) (multiplicity 8)
Ru (0.250, 0.250, 0.495) (multiplicity 2)
Ru (0.250, 0.584, 0.837) (multiplicity 4)

Output
**Energy of formation**: 32 kJ/mol of formula units
**Spin magnetization**: 0.00 μB per formula unit

The following is a DFT calculation (meta-GGA SCAN) of LiBeIn2 at its PBEsol-relaxed geometry.

abc: 4.271 4.271 3.816
angles: 90.00 90.00 90.00
Space group P4/mmm (No. 123)
Symmetry-distinct sites (fractional):
Li (0.000, 0.000, 0.000) (multiplicity 1)
Be (0.500, 0.500, 0.000) (multiplicity 1)
In (0.000, 0.500, 0.500) (multiplicity 2)

Output
**Energy of formation**: 27 kJ/mol of formula units
**Spin magnetization**: 0.00 μB per formula unit

The following is a DFT calculation (meta-GGA SCAN) of LiBeSi2 at its PBEsol-relaxed geometry.

abc: 3.247 3.247 4.823
angles: 90.00 90.00 90.00
Space group P4mm (No. 99)
Symmetry-distinct sites (fractional):
Li (0.000, 0.000, 0.000) (multiplicity 1)
Be (0.500, 0.500, 0.737) (multiplicity 1)
Si (0.000, 0.000, 0.506) (multiplicity 1)
Si (0.500, 0.500, 0.264) (multiplicity 1)

Output
**Formation energy (no corrections)**: 26 kJ/mol of atoms
**Spin magnetization**: 0.00 μB per formula unit

The following is a DFT calculation (meta-GGA SCAN) of Hf3CrH at its PBEsol-relaxed geometry.

abc: 4.306 4.306 4.306
angles: 90.00 90.00 90.00
Space group Pm-3m (No. 221)
Symmetry-distinct sites (fractional):
Hf (0.000, 0.000, 0.500) (multiplicity 3)
Cr (0.500, 0.500, 0.500) (multiplicity 1)
H (0.000, 0.000, 0.000) (multiplicity 1)

Output
**Relative energy among the computed polymorphs**: 0 kJ/mol of formula units
**Spin magnetization**: 4.03 μB per formula unit

The following is a DFT calculation (meta-GGA SCAN) of LaYTa2N at its PBEsol-relaxed geometry.

abc: 4.303 4.303 5.087
angles: 90.00 90.00 90.00
Space group P4/mmm (No. 123)
Symmetry-distinct sites (fractional):
La (0.000, 0.000, 0.000) (multiplicity 1)
Y (0.500, 0.500, 0.000) (multiplicity 1)
Ta (0.000, 0.500, 0.500) (multiplicity 2)
N (0.500, 0.500, 0.500) (multiplicity 1)

Output
**Formation energy (no corrections)**: -19 kJ/mol of atoms
**Spin magnetization**: 0.00 μB per formula unit

Record-wise N(E_F) values, in states/eV per cell: 4.23; 2.31; 6.38; 3.28; 1.65; 7.72; 2.10; 22.20; 1.45; 1.65; 4.76; 4.43